Density functional theory data (GGA-PBE) for a relaxed Pu2NpTl2S6 crystal.

a = 6.9930 Å, b = 6.9930 Å, c = 7.8453 Å
α = 98.63°, β = 98.63°, γ = 119.92°
Last column: magnetic moment on the atom in μB.
Element x y z (fractional)
1 Pu 0.3339 0.6661 0.5000  4.96
2 Pu 0.6661 0.3339 0.5000  4.96
3 Np 0.0000 0.0000 0.5000  3.46
4 Tl 0.8320 0.1680 0.0000  0.00
5 Tl 0.1680 0.8320 0.0000  0.00
6 S 0.7382 0.7382 0.6913  -0.12
7 S 0.0620 0.3921 0.6899  -0.12
8 S 0.2618 0.2618 0.3087  -0.12
9 S 0.3921 0.0620 0.6899  -0.12
10 S 0.9380 0.6079 0.3101  -0.12
11 S 0.6079 0.9380 0.3101  -0.12

* ΔE_f (raw): -13.824 eV/f.u.
* final energy: -7.721 eV/atom

---

Density functional theory data (GGA-PBE) for a relaxed KMo2Pt crystal.

a = 5.4954 Å, b = 5.4954 Å, c = 5.4954 Å
α = 138.10°, β = 138.10°, γ = 60.75°
Element x y z (fractional)
1 K 0.7500 0.2500 0.5000
2 Mo 0.0000 0.0000 0.0000
3 Mo 0.5000 0.5000 0.0000
4 Pt 0.2500 0.7500 0.5000

* calculated formation energy: 1.2083 eV/atom
* final energy: -5.992 eV/atom
* energy relative to the lowest polymorph listed for this composition: 0.804 eV per atom

---

For reference, total magnetic moment by record: 1.182 0.000 μB/atom.